(1)
{
  "formula": "BaNiGe",
  "functional": "GGA-PBE",
  "state": "relaxed",
  "cell": [[0.000, 3.501, 3.501], [3.501, 0.000, 3.501], [3.501, 3.501, 0.000]],
  "species": ["Ge", "Ni", "Ba"],
  "frac_coords": [[0.000, 0.000, 0.000], [0.750, 0.750, 0.750], [0.250, 0.250, 0.250]],
  "dft_energy_ev_per_atom": -3.686,
  "m_tot_mub_per_fu": 1.09
}

(2)
{
  "formula": "BaNiSnGe2",
  "functional": "GGA-PBE",
  "state": "relaxed",
  "cell": [[-1.830, -5.004, 3.119], [-5.863, 0.047, 1.934], [2.907, 1.068, -5.341]],
  "species": ["Ba", "Sn", "Ni", "Ge", "Ge"],
  "frac_coords": [[0.007, 0.007, 0.000], [0.414, 0.414, 0.000], [0.667, 0.667, 0.000], [0.750, 0.250, 0.500], [0.250, 0.750, 0.500]],
  "dft_energy_ev_per_atom": -4.571,
  "m_tot_mub_per_fu": 0.00
}

(3)
{
  "formula": "BaSrNi4Ge2",
  "functional": "GGA-PBE",
  "state": "relaxed",
  "cell": [[4.153, 0.000, 0.000], [-2.077, 3.597, 0.000], [0.000, 0.000, 10.839]],
  "species": ["Ni", "Ni", "Ni", "Ni", "Ge", "Ge", "Ba", "Sr"],
  "frac_coords": [[0.667, 0.333, 0.775], [0.000, 0.000, 0.710], [0.000, 0.000, 0.290], [0.667, 0.333, 0.225], [0.333, 0.667, 0.258], [0.333, 0.667, 0.742], [0.000, 0.000, 0.000], [0.667, 0.333, 0.500]],
  "dft_energy_ev_per_atom": -4.787,
  "m_tot_mub_per_fu": 0.00
}

(4)
{
  "formula": "BaTbNi2Ge4",
  "functional": "GGA-PBE",
  "state": "relaxed",
  "cell": [[4.231, 0.000, 0.000], [0.000, 2.167, 8.712], [0.000, -2.167, 8.712]],
  "species": ["Ge", "Ge", "Ge", "Ge", "Tb", "Ba", "Ni", "Ni"],
  "frac_coords": [[0.000, 0.246, 0.246], [0.000, 0.547, 0.547], [0.500, 0.463, 0.463], [0.500, 0.745, 0.745], [0.500, 0.112, 0.112], [0.000, 0.893, 0.893], [0.000, 0.679, 0.679], [0.500, 0.315, 0.315]],
  "dft_energy_ev_per_atom": -5.082,
  "m_tot_mub_per_fu": 0.01
}

(5)
{
  "formula": "Ba2ZnGe2O7",
  "functional": "GGA-PBE",
  "state": "relaxed",
  "cell": [[-6.895, -2.937, 3.705], [0.526, -6.988, -4.560], [3.121, -2.343, 3.951]],
  "species": ["O", "O", "O", "O", "O", "O", "O", "O", "O", "O", "O", "O", "O", "O", "Ba", "Ba", "Ba", "Ba", "Ge", "Ge", "Ge", "Ge", "Zn", "Zn"],
  "frac_coords": [[0.682, 0.579, 0.808], [0.182, 0.921, 0.192], [0.818, 0.079, 0.192], [0.639, 0.139, 0.726], [0.421, 0.682, 0.192], [0.000, 0.500, 0.840], [0.921, 0.818, 0.808], [0.318, 0.421, 0.808], [0.500, 0.000, 0.160], [0.079, 0.182, 0.808], [0.361, 0.861, 0.726], [0.139, 0.361, 0.274], [0.579, 0.318, 0.192], [0.861, 0.639, 0.274], [0.836, 0.336, 0.493], [0.664, 0.836, 0.507], [0.336, 0.164, 0.507], [0.164, 0.664, 0.493], [0.358, 0.858, 0.038], [0.142, 0.358, 0.962], [0.642, 0.142, 0.038], [0.858, 0.642, 0.962], [0.500, 0.500, 0.000], [0.000, 0.000, 0.000]],
  "dft_energy_ev_per_atom": -6.252
}

(6)
{
  "formula": "BaZrGe3O9",
  "functional": "GGA-PBE",
  "state": "relaxed",
  "cell": [[-5.950, -2.555, 2.424], [2.693, -2.480, -5.866], [5.315, -7.182, 5.477]],
  "species": ["Zr", "Zr", "Ba", "Ba", "O", "O", "O", "O", "O", "O", "O", "O", "O", "O", "O", "O", "O", "O", "O", "O", "O", "O", "Ge", "Ge", "Ge", "Ge", "Ge", "Ge"],
  "frac_coords": [[0.667, 0.333, 0.000], [0.667, 0.333, 0.500], [0.333, 0.667, 0.500], [0.333, 0.667, 0.000], [0.054, 0.785, 0.250], [0.933, 0.570, 0.611], [0.430, 0.363, 0.611], [0.933, 0.570, 0.889], [0.637, 0.570, 0.389], [0.430, 0.363, 0.889], [0.637, 0.570, 0.111], [0.430, 0.067, 0.111], [0.933, 0.363, 0.389], [0.215, 0.946, 0.750], [0.215, 0.269, 0.250], [0.430, 0.067, 0.389], [0.731, 0.785, 0.750], [0.637, 0.067, 0.611], [0.933, 0.363, 0.111], [0.637, 0.067, 0.889], [0.731, 0.946, 0.250], [0.054, 0.269, 0.750], [0.941, 0.710, 0.750], [0.769, 0.710, 0.250], [0.290, 0.059, 0.250], [0.769, 0.059, 0.750], [0.941, 0.231, 0.250], [0.290, 0.231, 0.750]],
  "dft_energy_ev_per_atom": -7.183,
  "m_tot_mub_per_fu": 0.00
}

(7)
{
  "formula": "BaGeOs",
  "functional": "GGA-PBE",
  "state": "relaxed",
  "cell": [[1.139, 2.604, 4.112], [-3.554, 2.575, 2.392], [-1.627, -1.544, 4.467]],
  "species": ["Ba", "Os", "Ge"],
  "frac_coords": [[0.000, 0.000, 0.000], [0.750, 0.750, 0.750], [0.250, 0.250, 0.250]],
  "dft_energy_ev_per_atom": -4.152,
  "m_tot_mub_per_fu": 0.65
}

(8)
{
  "formula": "BaGeOs",
  "functional": "GGA-PBE",
  "state": "relaxed",
  "cell": [[-4.191, -2.285, -0.289], [-4.049, 2.489, -0.529], [-2.367, -0.138, -4.153]],
  "species": ["Os", "Ge", "Ba"],
  "frac_coords": [[0.000, 0.000, 0.000], [0.750, 0.750, 0.750], [0.250, 0.250, 0.250]],
  "dft_energy_ev_per_atom": -5.193,
  "m_tot_mub_per_fu": 0.01
}

(9)
{
  "formula": "Ba2GeOsS6",
  "functional": "GGA-PBE",
  "state": "relaxed",
  "cell": [[5.973, -3.448, 0.000], [5.973, 3.448, 0.000], [-3.982, 0.000, 5.631]],
  "species": ["Ba", "Ba", "S", "S", "S", "S", "S", "S", "Os", "Ge"],
  "frac_coords": [[0.250, 0.250, 0.750], [0.750, 0.750, 0.250], [0.757, 0.243, 0.243], [0.243, 0.243, 0.243], [0.757, 0.757, 0.757], [0.243, 0.757, 0.757], [0.757, 0.243, 0.757], [0.243, 0.757, 0.243], [0.000, 0.000, 0.000], [0.500, 0.500, 0.500]],
  "dft_energy_ev_per_atom": -5.192,
  "m_tot_mub_per_fu": 1.63
}

(10)
{
  "formula": "Ba2ReGeP6",
  "functional": "GGA-PBE",
  "state": "relaxed",
  "cell": [[7.958, -3.571, 0.000], [7.958, 3.571, 0.000], [-0.400, 0.000, 4.719]],
  "species": ["P", "P", "P", "P", "P", "P", "Ge", "Ba", "Ba", "Re"],
  "frac_coords": [[0.005, 0.005, 0.369], [0.854, 0.391, 0.957], [0.757, 0.076, 0.623], [0.076, 0.757, 0.623], [0.555, 0.555, 0.162], [0.391, 0.854, 0.957], [0.657, 0.657, 0.570], [0.206, 0.206, 0.480], [0.806, 0.806, 0.089], [0.038, 0.038, 0.898]],
  "dft_energy_ev_per_atom": -5.656,
  "m_tot_mub_per_fu": 0.45
}

(11)
{
  "formula": "BaZn2GeP",
  "functional": "GGA-PBE",
  "state": "relaxed",
  "cell": [[2.910, -6.281, -0.232], [-2.749, -6.152, 1.605], [-1.000, 5.894, -3.498]],
  "species": ["Zn", "Zn", "Ge", "P", "Ba"],
  "frac_coords": [[0.251, 0.751, 0.500], [0.751, 0.251, 0.500], [0.632, 0.632, 0.000], [0.368, 0.368, 0.000], [0.997, 0.997, 0.000]],
  "dft_energy_ev_per_atom": -3.315
}

(12)
{
  "formula": "BaGe2PdPb",
  "functional": "GGA-PBE",
  "state": "relaxed",
  "cell": [[-2.407, 2.407, 5.444], [2.407, -2.407, 5.444], [2.407, 2.407, -5.444]],
  "species": ["Pb", "Ge", "Ge", "Pd", "Ba"],
  "frac_coords": [[0.003, 0.003, 0.000], [0.347, 0.847, 0.500], [0.847, 0.347, 0.500], [0.264, 0.264, 0.000], [0.607, 0.607, 0.000]],
  "dft_energy_ev_per_atom": -4.494
}

(13)
{
  "formula": "BaGePdPb2",
  "functional": "GGA-PBE",
  "state": "relaxed",
  "cell": [[-2.481, 2.481, 5.663], [2.481, -2.481, 5.663], [2.481, 2.481, -5.663]],
  "species": ["Pd", "Pb", "Pb", "Ba", "Ge"],
  "frac_coords": [[0.234, 0.234, 0.000], [0.357, 0.857, 0.500], [0.857, 0.357, 0.500], [0.604, 0.604, 0.000], [0.016, 0.016, 0.000]],
  "dft_energy_ev_per_atom": -4.308
}

(14)
{
  "formula": "BaGePd",
  "functional": "GGA-PBE",
  "state": "relaxed",
  "cell": [[-2.340, 3.977, 4.004], [2.340, -3.977, 4.004], [2.340, 3.977, -4.004]],
  "species": ["Ge", "Ge", "Pd", "Pd", "Ba", "Ba"],
  "frac_coords": [[0.032, 0.864, 0.168], [0.696, 0.864, 0.832], [0.891, 0.197, 0.694], [0.504, 0.197, 0.306], [0.473, 0.473, 0.000], [0.096, 0.596, 0.500]],
  "dft_energy_ev_per_atom": -4.514
}

(15)
{
  "formula": "BaGePd",
  "functional": "GGA-PBE",
  "state": "relaxed",
  "cell": [[0.000, 3.507, 3.507], [3.507, 0.000, 3.507], [3.507, 3.507, 0.000]],
  "species": ["Ba", "Pd", "Ge"],
  "frac_coords": [[0.500, 0.500, 0.500], [0.250, 0.250, 0.250], [0.000, 0.000, 0.000]],
  "dft_energy_ev_per_atom": -4.100
}

(16)
{
  "formula": "Ba2Ge2Pd3",
  "functional": "GGA-PBE",
  "state": "relaxed",
  "cell": [[-2.950, -10.235, 3.639], [-6.607, -7.923, 4.501], [-5.931, -9.555, 0.458]],
  "species": ["Pd", "Pd", "Pd", "Ba", "Ba", "Ge", "Ge"],
  "frac_coords": [[0.354, 0.354, 0.354], [0.850, 0.850, 0.850], [0.656, 0.656, 0.656], [0.756, 0.756, 0.756], [0.250, 0.250, 0.250], [0.005, 0.005, 0.005], [0.504, 0.504, 0.504]],
  "dft_energy_ev_per_atom": -4.664
}

(17)
{
  "formula": "BaGePd",
  "functional": "GGA-PBE",
  "state": "relaxed",
  "cell": [[-4.204, -2.626, 0.484], [-1.665, -1.222, 4.532], [-4.097, 2.171, 1.817]],
  "species": ["Ba", "Pd", "Ge"],
  "frac_coords": [[0.250, 0.250, 0.250], [0.750, 0.750, 0.750], [0.000, 0.000, 0.000]],
  "dft_energy_ev_per_atom": -3.951
}

(18)
{
  "formula": "Ba4Ge20Pd3",
  "functional": "GGA-PBE",
  "state": "relaxed",
  "cell": [[-2.295, 8.773, -5.996], [-10.200, -3.539, -1.273], [-2.979, 5.357, 8.978]],
  "species": ["Pd", "Pd", "Pd", "Pd", "Pd", "Pd", "Ge", "Ge", "Ge", "Ge", "Ge", "Ge", "Ge", "Ge", "Ge", "Ge", "Ge", "Ge", "Ge", "Ge", "Ge", "Ge", "Ge", "Ge", "Ge", "Ge", "Ge", "Ge", "Ge", "Ge", "Ge", "Ge", "Ge", "Ge", "Ge", "Ge", "Ge", "Ge", "Ge", "Ge", "Ge", "Ge", "Ge", "Ge", "Ge", "Ge", "Ba", "Ba", "Ba", "Ba", "Ba", "Ba", "Ba", "Ba"],
  "frac_coords": [[0.000, 0.500, 0.750], [0.250, 0.000, 0.500], [0.500, 0.750, 0.000], [0.500, 0.250, 0.000], [0.000, 0.500, 0.250], [0.750, 0.000, 0.500], [0.686, 0.881, 0.000], [0.314, 0.881, 0.000], [0.817, 0.183, 0.183], [0.683, 0.683, 0.683], [0.186, 0.500, 0.381], [0.619, 0.186, 0.500], [0.000, 0.686, 0.119], [0.500, 0.381, 0.186], [0.683, 0.317, 0.317], [0.317, 0.683, 0.317], [0.000, 0.686, 0.881], [0.314, 0.119, 0.000], [0.500, 0.619, 0.814], [0.183, 0.817, 0.183], [0.817, 0.183, 0.817], [0.500, 0.619, 0.186], [0.817, 0.817, 0.183], [0.881, 0.000, 0.686], [0.183, 0.817, 0.817], [0.881, 0.000, 0.314], [0.186, 0.500, 0.619], [0.317, 0.317, 0.683], [0.317, 0.317, 0.317], [0.683, 0.317, 0.683], [0.683, 0.683, 0.317], [0.000, 0.314, 0.119], [0.500, 0.381, 0.814], [0.814, 0.500, 0.381], [0.381, 0.186, 0.500], [0.119, 0.000, 0.314], [0.183, 0.183, 0.183], [0.619, 0.814, 0.500], [0.814, 0.500, 0.619], [0.817, 0.817, 0.817], [0.119, 0.000, 0.686], [0.686, 0.119, 0.000], [0.381, 0.814, 0.500], [0.183, 0.183, 0.817], [0.317, 0.683, 0.683], [0.000, 0.314, 0.881], [0.000, 0.750, 0.500], [0.000, 0.250, 0.500], [0.500, 0.000, 0.750], [0.000, 0.000, 0.000], [0.500, 0.000, 0.250], [0.750, 0.500, 0.000], [0.250, 0.500, 0.000], [0.500, 0.500, 0.500]],
  "dft_energy_ev_per_atom": -4.624
}

(19)
{
  "formula": "Ba2Ge4Pd5",
  "functional": "GGA-PBE",
  "state": "relaxed",
  "cell": [[5.567, -7.176, 0.000], [5.567, 7.176, 0.000], [0.000, 0.000, 5.971]],
  "species": ["Pd", "Pd", "Pd", "Pd", "Pd", "Pd", "Pd", "Pd", "Pd", "Pd", "Ge", "Ge", "Ge", "Ge", "Ge", "Ge", "Ge", "Ge", "Ba", "Ba", "Ba", "Ba"],
  "frac_coords": [[0.500, 0.500, 0.000], [0.023, 0.477, 0.750], [0.274, 0.226, 0.250], [0.000, 0.000, 0.500], [0.726, 0.774, 0.750], [0.977, 0.523, 0.250], [0.523, 0.977, 0.750], [0.774, 0.726, 0.250], [0.226, 0.274, 0.750], [0.477, 0.023, 0.250], [0.544, 0.792, 0.058], [0.956, 0.708, 0.558], [0.456, 0.208, 0.942], [0.708, 0.956, 0.442], [0.208, 0.456, 0.058], [0.292, 0.044, 0.558], [0.044, 0.292, 0.442], [0.792, 0.544, 0.942], [0.142, 0.858, 0.033], [0.858, 0.142, 0.967], [0.642, 0.358, 0.467], [0.358, 0.642, 0.533]],
  "dft_energy_ev_per_atom": -5.065
}

(20)
{
  "formula": "Ba2PrGe4Pd4",
  "functional": "GGA-PBE",
  "state": "relaxed",
  "cell": [[9.745, 8.487, 3.742], [4.628, 10.898, 6.389], [-6.661, -11.416, -2.515]],
  "species": ["Ge", "Ge", "Ge", "Ge", "Ba", "Ba", "Pd", "Pd", "Pd", "Pd", "Pr"],
  "frac_coords": [[0.201, 0.701, 0.500], [0.799, 0.299, 0.500], [0.453, 0.453, 0.000], [0.547, 0.547, 0.000], [0.355, 0.855, 0.500], [0.645, 0.145, 0.500], [0.249, 0.249, 0.000], [0.751, 0.751, 0.000], [0.905, 0.405, 0.500], [0.095, 0.595, 0.500], [0.000, 0.000, 0.000]],
  "dft_energy_ev_per_atom": -5.073,
  "m_tot_mub_per_fu": 0.04
}